# PBE-GGA NpPa2CrN4, relaxed
# **DFT total energy**: -10.515 eV/atom
# **DOS(E_F)**: 17.727 states/eV/cell
# **Mass density**: 12131 kg/m3
# **Volume**: 110.5 Å³/f.u.
# **Uncorrected formation energy**: -1.157 eV per atom
# **SG**: Cmcm
data_NpPa2CrN4
_chemical_formula_sum 'Np2 Pa4 Cr2 N8'
_cell_length_a 3.302
_cell_length_b 6.017
_cell_length_c 11.564
_cell_angle_alpha 90.00
_cell_angle_beta 90.00
_cell_angle_gamma 105.92
_symmetry_space_group_name_H-M 'P 1'
_symmetry_Int_Tables_number 1
loop_
_symmetry_equiv_pos_as_xyz
'x,y,z'
loop_
_atom_site_label
_atom_site_type_symbol
_atom_site_fract_x
_atom_site_fract_y
_atom_site_fract_z
Cr1 Cr 0.156 0.312 0.250
Cr2 Cr 0.844 0.688 0.750
Np1 Np 0.896 0.791 0.250
Np2 Np 0.104 0.209 0.750
N1 N 0.722 0.445 0.629
N2 N 0.451 0.903 0.750
N3 N 0.722 0.445 0.871
N4 N 0.000 0.000 0.500
N5 N 0.278 0.555 0.129
N6 N 0.278 0.555 0.371
N7 N 0.549 0.097 0.250
N8 N 0.000 0.000 0.000
Pa1 Pa 0.366 0.732 0.944
Pa2 Pa 0.366 0.732 0.556
Pa3 Pa 0.634 0.268 0.444
Pa4 Pa 0.634 0.268 0.056